No. 1
Density functional theory data (PBE) for a relaxed NbC2Cl crystal.

E_tot = -5.366 eV per atom
Calculated density = 5.4 g/cm3
Uncorrected formation energy = 2225 meV per atom
Relative energy among the computed polymorphs = 709 meV/atom
Space-group type = Fm-3m (225)

a = 4.044 Å, b = 4.044 Å, c = 4.044 Å
α = 60.00°, β = 60.00°, γ = 60.00°
Atoms (fractional coordinates):
Nb: 0.000 0.000 0.000
C: 0.250 0.250 0.250
C: 0.750 0.750 0.750
Cl: 0.500 0.500 0.500



No. 2
Density functional theory data (PBE) for a relaxed SrInHPb2 crystal.

E_tot = -3.177 eV per atom
Calculated density = 8.0 g/cm3
Space-group type = P4/mmm (123)

a = 5.077 Å, b = 5.077 Å, c = 4.972 Å
α = 90.00°, β = 90.00°, γ = 90.00°
Atoms (fractional coordinates):
Sr: 0.000 0.000 0.000
In: 0.500 0.500 0.000
H: 0.000 0.000 0.500
Pb: 0.000 0.500 0.500
Pb: 0.500 0.000 0.500



No. 3
Density functional theory data (PBE) for a relaxed TaV2OsN crystal.

E_tot = -10.463 eV per atom
Calculated density = 12.4 g/cm3
Uncorrected formation energy = -534 meV per atom
Space-group type = P4/mmm (123)

a = 3.916 Å, b = 3.916 Å, c = 4.259 Å
α = 90.00°, β = 90.00°, γ = 90.00°
Atoms (fractional coordinates):
Ta: 0.000 0.000 0.000
V: 0.000 0.500 0.500
V: 0.500 0.000 0.500
Os: 0.500 0.500 0.000
N: 0.000 0.000 0.500



> Look up the E_tot of the second one.

-3.177 eV per atom